InNiN2 | GGA-PBEsol | relaxed

Summary:
E_form (uncorrected): 0.51 eV/atom
theoretical density: 7269 kg/m³
size of the total moment: 0.000 μB/cell

Cell lengths 2.9415, 2.9415, 6.3745 Å; angles 76.66, 76.66, 60.00 degrees
Closest atoms and distances in Å follow each position.
Fractional positions:
Ni (0.5000, 0.5000, 0.5000)  6 N 1.92
N (0.8823, 0.8823, 0.3530)  3 Ni 1.92
N (0.1177, 0.1177, 0.6470)  3 Ni 1.92
In (0.0000, 0.0000, 0.0000)  2 N 2.17


InNiN2O | GGA-PBEsol | relaxed

Summary:
E_form (uncorrected): 1.65 eV/atom
theoretical density: 5092 kg/m³
size of the total moment: 4.678 μB/cell

Cell lengths 4.1026, 4.1581, 4.1581 Å; angles 90.00, 90.00, 90.00 degrees
Closest atoms and distances in Å follow each position.
Fractional positions:
Ni (0.5000, 0.5000, 0.5000)  8 N 2.92, 4 O 2.94
N (0.0000, 0.0000, 0.5000)  2 In 2.08
N (0.0000, 0.5000, 0.0000)  2 In 2.08
O (0.5000, 0.0000, 0.0000)  2 In 2.05
In (0.0000, 0.0000, 0.0000)  2 O 2.05, 4 N 2.08